A geometry-optimized Pr6AgAu5 structure. Source: the Alexandria database, functional PBE.

Cell and atoms, written as POSCAR:
```
Pr6AgAu5
1.0
-0.2581 0.2602 5.3044
4.7061 -5.7518 0.5108
8.3927 2.3084 2.9893
Au Pr Ag
5 6 1
Direct
0.3322 0.3326 0.3350 Au
0.6678 0.6674 0.6650 Au
0.6592 0.1597 0.6807 Au
0.3408 0.8403 0.3193 Au
0.0000 0.5000 0.0000 Au
0.5000 0.7456 0.0000 Pr
0.5000 0.2544 0.0000 Pr
0.8314 0.0834 0.3371 Pr
0.8314 0.5796 0.3371 Pr
0.1686 0.9166 0.6629 Pr
0.1686 0.4204 0.6629 Pr
0.0000 0.0000 0.0000 Ag
```

Results
Formation energy, eV per atom: -0.67